1.
# PBE Ca3Si2Ni3, optimized geometry
# Excess energy over the best structure of this formula in the dataset = 0.020 eV/atom
# Formation energy (no corrections) = -0.488 eV per atom
# Crystal system = orthorhombic
# E_tot = -4.763 eV per atom
data_Ca3Si2Ni3
_space_group_name_H-M_alt 'P n m a'
_space_group_IT_number 62
_cell_length_a 7.459
_cell_length_b 14.087
_cell_length_c 5.792
_cell_angle_alpha 90.00
_cell_angle_beta 90.00
_cell_angle_gamma 90.00
loop_
_space_group_symop_operation_xyz
'x,y,z'
'-x,-y,-z'
'-x+1/2,-y,z+1/2'
'x+1/2,y,-z+1/2'
'x+1/2,-y+1/2,-z+1/2'
'-x+1/2,y+1/2,z+1/2'
'-x,y+1/2,-z'
'x,-y+1/2,z'
loop_
_atom_site_label
_atom_site_type_symbol
_atom_site_fract_x
_atom_site_fract_y
_atom_site_fract_z
Ca1 Ca 0.014 0.107 0.139
Ca2 Ca 0.157 0.250 0.609
Si1 Si 0.145 0.595 0.368
Ni1 Ni 0.147 0.038 0.604
Ni2 Ni 0.188 0.750 0.542

***

2.
# PBE CsH, optimized geometry
# Crystal system = hexagonal
# E_tot = -2.244 eV per atom
data_CsH
_space_group_name_H-M_alt 'P -6 m 2'
_space_group_IT_number 187
_space_group_name_Hall 'P -6 2'
_cell_length_a 4.3105
_cell_length_b 4.3105
_cell_length_c 3.9206
_cell_angle_alpha 90.00
_cell_angle_beta 90.00
_cell_angle_gamma 120.00
loop_
_atom_site_label
_atom_site_type_symbol
_atom_site_fract_x
_atom_site_fract_y
_atom_site_fract_z
Cs1 Cs 0.0000 0.0000 0.0000
H1 H 0.6667 0.3333 0.5000

***

3.
# PBE BaSi4Pd, optimized geometry
# Formation energy (no corrections) = -0.331 eV per atom
# Crystal system = monoclinic
# E_tot = -5.132 eV per atom
data_BaSi4Pd
_space_group_name_H-M_alt 'C 1 2/m 1'
_space_group_IT_number 12
_cell_length_a 10.869
_cell_length_b 6.116
_cell_length_c 8.615
_cell_angle_alpha 90.00
_cell_angle_beta 119.83
_cell_angle_gamma 90.00
loop_
_space_group_symop_operation_xyz
'x,y,z'
'-x,-y,-z'
'-x,y,-z'
'x,-y,z'
'x+1/2,y+1/2,z'
'-x+1/2,-y+1/2,-z'
'-x+1/2,y+1/2,-z'
'x+1/2,-y+1/2,z'
loop_
_atom_site_label
_atom_site_type_symbol
_atom_site_fract_x
_atom_site_fract_y
_atom_site_fract_z
Ba1 Ba 0.180 0.000 0.276
Si1 Si 0.000 0.230 0.500
Si2 Si 0.138 0.204 0.870
Si3 Si 0.221 0.000 0.690
Pd1 Pd 0.030 0.500 0.300

***

4.
# PBE Pm3TmPa2N6, optimized geometry
# Formation energy (no corrections) = -1.631 eV per atom
# Crystal system = monoclinic
# E_tot = -8.936 eV per atom
data_Pm3TmPa2N6
_space_group_name_H-M_alt 'C 1 2/m 1'
_space_group_IT_number 12
_cell_length_a 6.106
_cell_length_b 10.583
_cell_length_c 6.161
_cell_angle_alpha 90.00
_cell_angle_beta 109.26
_cell_angle_gamma 90.00
loop_
_space_group_symop_operation_xyz
'x,y,z'
'-x,-y,-z'
'-x,y,-z'
'x,-y,z'
'x+1/2,y+1/2,z'
'-x+1/2,-y+1/2,-z'
'-x+1/2,y+1/2,-z'
'x+1/2,-y+1/2,z'
loop_
_atom_site_label
_atom_site_type_symbol
_atom_site_fract_x
_atom_site_fract_y
_atom_site_fract_z
Pm1 Pm 0.000 0.000 0.000
Pm2 Pm 0.000 0.334 0.000
Tm1 Tm 0.000 0.500 0.500
Pa1 Pa 0.000 0.167 0.500
N1 N 0.232 0.000 0.720
N2 N 0.244 0.329 0.719

***

5.
# PBE NaLiSO4, optimized geometry
# Formation energy (no corrections) = -1.853 eV per atom
# Crystal system = tetragonal
# E_tot = -5.738 eV per atom
data_NaLiSO4
_space_group_name_H-M_alt 'I -4'
_space_group_IT_number 82
_cell_length_a 5.135
_cell_length_b 5.135
_cell_length_c 7.473
_cell_angle_alpha 90.00
_cell_angle_beta 90.00
_cell_angle_gamma 90.00
loop_
_space_group_symop_operation_xyz
'x,y,z'
'y,-x,-z'
'-x,-y,z'
'-y,x,-z'
'x+1/2,y+1/2,z+1/2'
'y+1/2,-x+1/2,-z+1/2'
'-x+1/2,-y+1/2,z+1/2'
'-y+1/2,x+1/2,-z+1/2'
loop_
_atom_site_label
_atom_site_type_symbol
_atom_site_fract_x
_atom_site_fract_y
_atom_site_fract_z
Na1 Na 0.000 0.000 0.000
Li1 Li 0.000 0.000 0.500
S1 S 0.000 0.500 0.750
O1 O 0.137 0.304 0.636

***

6.
# PBE Tb2Dy2Sb3, optimized geometry
# Excess energy over the best structure of this formula in the dataset = 0.000 eV/atom
# Formation energy (no corrections) = -1.002 eV per atom
# Crystal system = cubic
# E_tot = -5.406 eV per atom
data_Tb2Dy2Sb3
_space_group_name_H-M_alt 'I 21 3'
_space_group_IT_number 199
_space_group_name_Hall 'I 2b 2c 3'
_cell_length_a 9.211
_cell_length_b 9.211
_cell_length_c 9.211
_cell_angle_alpha 90.00
_cell_angle_beta 90.00
_cell_angle_gamma 90.00
loop_
_atom_site_label
_atom_site_type_symbol
_atom_site_fract_x
_atom_site_fract_y
_atom_site_fract_z
Tb1 Tb 0.073 0.073 0.073
Dy1 Dy 0.178 0.322 0.678
Sb1 Sb 0.000 0.250 0.376

***

7.
# PBE ZrZn2Fe, optimized geometry
# Energy of formation = -22 meV/atom
# Crystal system = cubic
# E_tot = -4.912 eV per atom
data_ZrZn2Fe
_space_group_name_H-M_alt 'F -4 3 m'
_space_group_IT_number 216
_space_group_name_Hall 'F -4 2 3'
_cell_length_a 6.303
_cell_length_b 6.303
_cell_length_c 6.303
_cell_angle_alpha 90.00
_cell_angle_beta 90.00
_cell_angle_gamma 90.00
loop_
_atom_site_label
_atom_site_type_symbol
_atom_site_fract_x
_atom_site_fract_y
_atom_site_fract_z
Zr1 Zr 0.000 0.000 0.000
Zn1 Zn 0.000 0.000 0.500
Zn2 Zn 0.250 0.250 0.250
Fe1 Fe 0.250 0.250 0.750

***

8.
# PBE Pu2AlCl6, optimized geometry
# Formation energy (no corrections) = -1.540 eV per atom
# Crystal system = tetragonal
# E_tot = -6.372 eV per atom
data_Pu2AlCl6
_space_group_name_H-M_alt 'P 42/m n m'
_space_group_IT_number 136
_space_group_name_Hall '-P 4n 2n'
_cell_length_a 6.721
_cell_length_b 6.721
_cell_length_c 12.934
_cell_angle_alpha 90.00
_cell_angle_beta 90.00
_cell_angle_gamma 90.00
loop_
_atom_site_label
_atom_site_type_symbol
_atom_site_fract_x
_atom_site_fract_y
_atom_site_fract_z
Pu1 Pu 0.000 0.000 0.167
Al1 Al 0.000 0.000 0.500
Cl1 Cl 0.186 0.186 0.000
Cl2 Cl 0.206 0.206 0.322

***

9.
# PBE GeRu2CF, optimized geometry
# Formation energy (no corrections) = 0.381 eV per atom
# Crystal system = tetragonal
# E_tot = -6.472 eV per atom
data_GeRu2CF
_space_group_name_H-M_alt 'P 4/m m m'
_space_group_IT_number 123
_space_group_name_Hall '-P 4 2'
_cell_length_a 3.995
_cell_length_b 3.995
_cell_length_c 4.180
_cell_angle_alpha 90.00
_cell_angle_beta 90.00
_cell_angle_gamma 90.00
loop_
_atom_site_label
_atom_site_type_symbol
_atom_site_fract_x
_atom_site_fract_y
_atom_site_fract_z
Ge1 Ge 0.000 0.000 0.000
Ru1 Ru 0.000 0.500 0.500
C1 C 0.500 0.500 0.500
F1 F 0.500 0.500 0.000

***

10.
# PBE Nd2LuHg, optimized geometry
# Energy of formation = -91 meV/atom
# Excess energy over the best structure of this formula in the dataset = 0.109 eV/atom
# Crystal system = cubic
# E_tot = -3.681 eV per atom
data_Nd2LuHg
_space_group_name_H-M_alt 'F m -3 m'
_space_group_IT_number 225
_space_group_name_Hall '-F 4 2 3'
_cell_length_a 7.784
_cell_length_b 7.784
_cell_length_c 7.784
_cell_angle_alpha 90.00
_cell_angle_beta 90.00
_cell_angle_gamma 90.00
loop_
_atom_site_label
_atom_site_type_symbol
_atom_site_fract_x
_atom_site_fract_y
_atom_site_fract_z
Nd1 Nd 0.250 0.250 0.250
Lu1 Lu 0.000 0.000 0.000
Hg1 Hg 0.000 0.000 0.500